LaCu2Ag GGA-PBE optimized geometry; magnetization = 0.000 Bohr magnetons per cell; ΔH_f (0 K) = -0.173 eV per atom; Fermi-level density of states = 4.149 states/eV/cell
1.0
4.076 0.000 0.000
0.000 4.091 0.000
-0.457 0.000 9.795
La Cu Ag
2 4 2
direct
0.221 0.250 0.249
0.779 0.750 0.751
0.254 0.750 0.500
0.263 0.250 0.643
0.737 0.750 0.357
0.746 0.250 0.500
0.301 0.250 0.923
0.699 0.750 0.077